Material: TaTlAu2
Method: DFT, PBE
State: optimized geometry

Properties
Spin magnetization (μB/f.u.): 0.665
DOS at the Fermi energy (states/eV/f.u.): 4.0
DFT formation energy (eV/atom): 0.433
Space group: I-4m2

abc: 5.1998 5.1998 5.1998
angles: 131.22 131.22 71.46
Positions (direct):
Ta 0.0000 0.0000 0.0000
Tl 0.2500 0.7500 0.5000
Au 0.5000 0.5000 0.0000
Au 0.7500 0.2500 0.5000